Computed, not measured: WBr3 at its PBEsol-relaxed geometry at the SCAN level of DFT.

abc: 7.2202 7.2202 3.3177
angles: 90.00 90.00 140.22
Element x y z (fractional)
1 W 0.0000 0.0000 0.0000
2 Br 0.1443 0.8557 0.5000
3 Br 0.5000 0.5000 0.0000
4 Br 0.8557 0.1443 0.5000

Summary:
V in Å³ per cell: 111
Formation energy from raw total energies in meV/atom: -50

Computed, not measured: SmErIr2 at its PBEsol-relaxed geometry at the SCAN level of DFT.

abc: 4.8076 4.8076 4.8076
angles: 60.00 60.00 60.00
Element x y z (fractional)
1 Sm 0.0000 0.0000 0.0000
2 Er 0.5000 0.5000 0.5000
3 Ir 0.2500 0.2500 0.2500
4 Ir 0.7500 0.7500 0.7500

Summary:
Formation enthalpy at 0 K in meV per atom: -914
V in Å³ per cell: 79

Computed, not measured: MnPt2Se at its PBEsol-relaxed geometry at the SCAN level of DFT.

abc: 8.5068 8.5068 8.5068
angles: 19.44 19.44 19.44
Element x y z (fractional)
1 Mn 0.0000 0.0000 0.0000
2 Pt 0.5042 0.5042 0.5042
3 Pt 0.7462 0.7462 0.7462
4 Se 0.2652 0.2652 0.2652

Summary:
V in Å³ per cell: 60
Formation energy from raw total energies in meV/atom: -2

Computed, not measured: MnRe2 at its PBEsol-relaxed geometry at the SCAN level of DFT.

abc: 4.7620 4.7620 4.7620
angles: 103.43 103.43 122.37
Element x y z (fractional)
1 Mn 0.2500 0.2500 0.0000
2 Mn 0.7500 0.7500 0.0000
3 Re 0.1522 0.6522 0.8044
4 Re 0.3478 0.1522 0.5000
5 Re 0.6522 0.8478 0.5000
6 Re 0.8478 0.3478 0.1956

Summary:
Formation enthalpy at 0 K in meV per atom: -6
V in Å³ per cell: 80

Computed, not measured: Sm2Cr2C3 at its PBEsol-relaxed geometry at the SCAN level of DFT.

abc: 5.3895 5.3895 5.6473
angles: 104.50 104.50 37.35
Element x y z (fractional)
1 Sm 0.1013 0.1013 0.3181
2 Sm 0.8987 0.8987 0.6819
3 Cr 0.3406 0.3406 0.1033
4 Cr 0.6594 0.6594 0.8967
5 C 0.2054 0.2054 0.7822
6 C 0.5000 0.5000 0.0000
7 C 0.7946 0.7946 0.2178

Summary:
Formation enthalpy at 0 K in meV per atom: -315
V in Å³ per cell: 96

Computed, not measured: CrPbC3 at its PBEsol-relaxed geometry at the SCAN level of DFT.

abc: 3.9118 3.9118 3.9118
angles: 90.00 90.00 90.00
Element x y z (fractional)
1 Cr 0.0000 0.0000 0.0000
2 Pb 0.5000 0.5000 0.5000
3 C 0.0000 0.0000 0.5000
4 C 0.0000 0.5000 0.0000
5 C 0.5000 0.0000 0.0000

Summary:
Formation enthalpy at 0 K in meV per atom: 1756
V in Å³ per cell: 60

Computed, not measured: ZnRe2Ru at its PBEsol-relaxed geometry at the SCAN level of DFT.

abc: 8.9800 8.9800 8.9800
angles: 17.36 17.36 17.36
Element x y z (fractional)
1 Zn 0.0000 0.0000 0.0000
2 Re 0.2482 0.2482 0.2482
3 Re 0.7518 0.7518 0.7518
4 Ru 0.5000 0.5000 0.5000

Summary:
Formation enthalpy at 0 K in meV per atom: 107
V in Å³ per cell: 56

Computed, not measured: CaZrBe2 at its PBEsol-relaxed geometry at the SCAN level of DFT.

abc: 3.3047 3.3047 6.5563
angles: 90.00 90.00 90.00
Element x y z (fractional)
1 Ca 0.0000 0.0000 0.0000
2 Zr 0.0000 0.0000 0.5000
3 Be 0.5000 0.5000 0.3048
4 Be 0.5000 0.5000 0.6952

Summary:
Formation enthalpy at 0 K in meV per atom: 137
V in Å³ per cell: 72